VASP calculation (PBE) on an optimized crystal structure of KFeH2Se.

Output
- E: -19.246 eV/cell
- V: 16.42 Å³ per atom

Cell: 4.186 4.687 4.186 Å, 90.00 90.00 90.00°
Sites, in units of the cell vectors:
K  0.500  0.500  0.500
H  0.000  0.000  0.500
H  0.500  0.000  0.000
Se  0.000  0.500  0.000
Fe  0.000  0.000  0.000